[1]
The following is a PBE calculation of a relaxed Pr7Sn2Rh2 crystal, from Alexandria.

symmetry = Cmmm, No. 65
energy of formation from the pure elements = -468.2 kJ/mol of formula units

a b c (Å): 7.1110 7.2710 7.1110
angles (deg): 90.00 107.67 90.00
With the nearest neighbours (Å) after each atom.
Sites, in units of the cell vectors:
Pr 0.0000 0.2540 0.5000  2 Rh 2.83
Pr 0.5000 0.7460 0.0000  2 Rh 2.83
Pr 0.0000 0.7460 0.5000  2 Rh 2.83
Pr 0.5000 0.2540 0.0000  2 Rh 2.83
Pr 0.0000 0.0000 0.0000  2 Rh 3.28
Pr 0.5000 0.7605 0.5000  2 Rh 3.01, 2 Sn 3.32
Pr 0.5000 0.2395 0.5000  2 Rh 3.01, 2 Sn 3.32
Sn 0.8253 0.5000 0.8253  1 Sn 2.93
Sn 0.1747 0.5000 0.1747  1 Sn 2.93
Rh 0.7141 0.0000 0.2859  6 Pr 2.83-3.01
Rh 0.2859 0.0000 0.7141  6 Pr 2.83-3.01

---

[2]
The following is a PBE calculation of a relaxed V6TcOs2 crystal, from Alexandria.

symmetry = C2/m, No. 12
energy of formation from the pure elements = 300.9 kJ/mol of formula units

a b c (Å): 4.1337 5.8092 7.1383
angles (deg): 114.01 106.68 90.00
With the nearest neighbours (Å) after each atom.
Sites, in units of the cell vectors:
V 0.1660 0.4149 0.3321  1 Tc 2.51, 3 Os 2.52-2.53
V 0.8340 0.0829 0.6679  1 Tc 2.51, 3 Os 2.52-2.53
V 0.8340 0.5851 0.6679  1 Tc 2.51, 3 Os 2.52-2.53
V 0.5000 0.2488 0.0000  2 Tc 2.52, 2 Os 2.53
V 0.1660 0.9171 0.3321  1 Tc 2.51, 3 Os 2.52-2.53
V 0.5000 0.7512 0.0000  2 Tc 2.52, 2 Os 2.53
Tc 0.0000 0.0000 0.0000  8 V 2.51-2.52
Os 0.6668 0.6668 0.3336  8 V 2.52-2.53
Os 0.3332 0.3332 0.6664  8 V 2.52-2.53

---

[3]
The following is a PBE calculation of a relaxed Pu2AlGa3 crystal, from Alexandria.

symmetry = Fmmm, No. 69
energy of formation from the pure elements = -201.9 kJ/mol of formula units

a b c (Å): 5.6721 5.6721 8.6412
angles (deg): 102.93 102.93 108.54
With the nearest neighbours (Å) after each atom.
Sites, in units of the cell vectors:
Pu 0.2500 0.7500 0.5000  8 Ga 3.13, 4 Al 3.14, 2 Pu 3.31
Pu 0.7531 0.7531 0.0000  10 Ga 3.13, 2 Al 3.14, 2 Pu 3.27-3.35
Pu 0.7500 0.2500 0.5000  8 Ga 3.13, 4 Al 3.14, 2 Pu 3.31
Pu 0.2469 0.2469 0.0000  10 Ga 3.13, 2 Al 3.14, 2 Pu 3.27-3.35
Al 0.6663 0.6663 0.3326  3 Ga 2.64-2.65
Al 0.3337 0.3337 0.6674  3 Ga 2.64-2.65
Ga 0.3350 0.8319 0.1669  1 Al 2.64, 2 Ga 2.66-2.68
Ga 0.1681 0.6650 0.8331  1 Al 2.64, 2 Ga 2.66-2.68
Ga 0.6650 0.1681 0.8331  1 Al 2.64, 2 Ga 2.66-2.68
Ga 0.8319 0.3350 0.1669  1 Al 2.64, 2 Ga 2.66-2.68
Ga 0.1675 0.1675 0.3351  1 Al 2.65, 2 Ga 2.68
Ga 0.8325 0.8325 0.6649  1 Al 2.65, 2 Ga 2.68

---

[4]
The following is a PBE calculation of a relaxed LiTiGe crystal, from Alexandria.

symmetry = I4mm, No. 107
energy of formation from the pure elements = -46.4 kJ/mol of formula units

a b c (Å): 2.7729 2.7729 6.7436
angles (deg): 101.86 101.86 90.00
With the nearest neighbours (Å) after each atom.
Sites, in units of the cell vectors:
Ge 0.9501 0.9501 0.9001  4 Ge 2.77, 4 Ti 2.78, 4 Li 2.78
Ti 0.6023 0.6023 0.2045  4 Ti 2.77, 4 Ge 2.78
Li 0.2977 0.2977 0.5954  4 Li 2.77, 4 Ge 2.78

---

[5]
The following is a PBE calculation of a relaxed CsBr2O7 crystal, from Alexandria.

symmetry = Cmmm, No. 65
formation energy (no corrections) = 0.27 eV/atom

a b c (Å): 3.8228 5.8597 9.5715
angles (deg): 107.82 90.00 90.00
With the nearest neighbours (Å) after each atom.
Sites, in units of the cell vectors:
Cs 0.0000 0.0000 0.0000  8 O 3.27-3.50
Br 0.5000 0.6157 0.2314  2 O 1.64
Br 0.5000 0.3843 0.7686  2 O 1.64
O 0.0000 0.5798 0.1597  2 Br 2.02
O 0.0000 0.4202 0.8403  2 Br 2.02
O 0.5000 0.5784 0.6764  1 Br 1.64
O 0.5000 0.4216 0.3236  1 Br 1.64
O 0.5000 0.9021 0.3236  1 Br 1.64
O 0.5000 0.0979 0.6764  1 Br 1.64
O 0.5000 0.5000 0.0000  2 Br 2.11

---

[6]
The following is a PBE calculation of a relaxed IrPb2 crystal, from Alexandria.

symmetry = P4_2/mnm, No. 136
energy of formation from the pure elements = 45.9 kJ/mol of formula units

a b c (Å): 6.5000 6.5000 3.9627
angles (deg): 90.00 90.00 90.00
With the nearest neighbours (Å) after each atom.
Sites, in units of the cell vectors:
Ir 0.0000 0.0000 0.0000  6 Pb 2.72-2.73
Ir 0.5000 0.5000 0.5000  6 Pb 2.72-2.73
Pb 0.7046 0.2954 0.0000  3 Ir 2.72-2.73
Pb 0.2954 0.7046 0.0000  3 Ir 2.72-2.73
Pb 0.7954 0.7954 0.5000  3 Ir 2.72-2.73
Pb 0.2046 0.2046 0.5000  3 Ir 2.72-2.73

---

Total magnetization for every record listed, in sequence, given in μB/f.u.: 0.00, 0.00, 0.03, 0.00, 0.16, 0.00.
Calculated volume for every record listed, in sequence, given in Å³ per cell: 350.3, 148.6, 243.5, 49.6, 204.1, 167.4.